Entry 1:
{"formula": "NaHoTa4N8", "functional": "GGA-PBE", "state": "optimized geometry", "cell": [[-4.570, 4.308, -0.724], [-4.824, 0.208, 4.082], [-0.400, 4.917, 4.174]], "species": ["N", "N", "N", "N", "N", "N", "N", "N", "Na", "Ta", "Ta", "Ta", "Ta", "Ho"], "fractional_positions": [[0.759, 0.759, 0.724], [0.248, 0.736, 0.280], [0.250, 0.799, 0.700], [0.736, 0.736, 0.280], [0.736, 0.248, 0.280], [0.799, 0.250, 0.700], [0.250, 0.250, 0.700], [0.236, 0.236, 0.291], [0.996, 0.996, 0.012], [0.002, 0.485, 0.510], [0.485, 0.002, 0.510], [0.002, 0.002, 0.510], [0.622, 0.622, 0.134], [0.378, 0.378, 0.867]], "mass_density_g_cm3": 9.210, "e_form_raw_ev_per_fu": -13.56, "spacegroup": "R3m (160)"}

***

Entry 2:
{"formula": "AlIn2Ag", "functional": "GGA-PBE", "state": "optimized geometry", "cell": [[-7.139, 0.823, 1.609], [3.142, -3.856, 2.065], [-0.596, 1.056, 2.824]], "species": ["Ag", "Al", "In", "In"], "fractional_positions": [[0.000, 0.500, 0.500], [0.500, 0.500, 0.000], [0.000, 0.000, 0.000], [0.500, 0.000, 0.500]], "dft_energy_ev_per_atom": -2.917, "n_ef_per_ev_cell": 0.79, "mass_density_g_cm3": 6.986, "spacegroup": "C2/m (12)"}